(1)
Below is an optimized crystal structure of MnAsP3, with properties calculated at the PBE level.

Energy of formation, meV per atom: 524
Mass density, Mg/m³: 4.4
Uncorrected energy, eV per atom: -5.4853

Unit cell a=4.374 b=4.374 c=4.374 alpha=90.00 beta=90.00 gamma=90.00
Element x y z (fractional)
Mn1 0.000 0.000 0.000
As1 0.500 0.500 0.500
P1 0.000 0.000 0.500
P2 0.000 0.500 0.000
P3 0.500 0.000 0.000

(2)
Below is an optimized crystal structure of CaHo2Hg6, with properties calculated at the PBE level.

Energy of formation, meV per atom: -391
Mass density, Mg/m³: 11.9
Uncorrected energy, eV per atom: -1.8318

Unit cell a=8.594 b=8.594 c=3.447 alpha=90.00 beta=90.00 gamma=120.00
Element x y z (fractional)
Ca1 0.000 0.000 0.000
Ho1 0.333 0.667 0.000
Ho2 0.667 0.333 0.000
Hg1 0.000 0.334 0.500
Hg2 0.000 0.666 0.500
Hg3 0.334 0.000 0.500
Hg4 0.334 0.334 0.500
Hg5 0.666 0.000 0.500
Hg6 0.666 0.666 0.500

(3)
Below is an optimized crystal structure of NdAgPt, with properties calculated at the PBE level.

Energy of formation, meV per atom: -620
Mass density, Mg/m³: 11.2
Uncorrected energy, eV per atom: -5.1729

Unit cell a=3.796 b=3.796 c=9.242 alpha=90.00 beta=90.00 gamma=90.00
Element x y z (fractional)
Nd1 0.000 0.000 0.000
Nd2 0.500 0.500 0.500
Ag1 0.000 0.000 0.680
Ag2 0.500 0.500 0.180
Pt1 0.000 0.000 0.349
Pt2 0.500 0.500 0.849

(4)
Below is an optimized crystal structure of Li2CaIn, with properties calculated at the PBE level.

Energy of formation, meV per atom: -8
Mass density, Mg/m³: 2.6
Uncorrected energy, eV per atom: -2.1496

Unit cell a=3.543 b=3.543 c=29.784 alpha=90.00 beta=90.00 gamma=120.00
Element x y z (fractional)
Li1 0.000 0.000 0.239
Li2 0.000 0.000 0.761
Li3 0.333 0.667 0.428
Li4 0.333 0.667 0.905
Li5 0.667 0.333 0.095
Li6 0.667 0.333 0.572
Ca1 0.000 0.000 0.000
Ca2 0.333 0.667 0.667
Ca3 0.667 0.333 0.333
In1 0.000 0.000 0.500
In2 0.333 0.667 0.167
In3 0.667 0.333 0.833

(5)
Below is an optimized crystal structure of DyHfC, with properties calculated at the PBE level.

Energy of formation, meV per atom: -385
Mass density, Mg/m³: 10.1
Uncorrected energy, eV per atom: -8.3117

Unit cell a=3.414 b=3.414 c=5.775 alpha=90.00 beta=90.00 gamma=120.00
Element x y z (fractional)
Dy1 0.000 0.000 0.000
Hf1 0.667 0.333 0.546
C1 0.333 0.667 0.734

(6)
Below is an optimized crystal structure of Zn2RhPb, with properties calculated at the PBE level.

Energy of formation, meV per atom: 126
Mass density, Mg/m³: 9.0
Uncorrected energy, eV per atom: -3.2758

Unit cell a=7.796 b=7.796 c=5.327 alpha=90.00 beta=90.00 gamma=90.00
Element x y z (fractional)
Zn1 0.190 0.250 0.125
Zn2 0.250 0.690 0.375
Zn3 0.250 0.810 0.875
Zn4 0.310 0.250 0.625
Zn5 0.690 0.750 0.625
Zn6 0.750 0.190 0.875
Zn7 0.750 0.310 0.375
Zn8 0.810 0.750 0.125
Rh1 0.000 0.000 0.000
Rh2 0.000 0.500 0.250
Rh3 0.500 0.000 0.750
Rh4 0.500 0.500 0.500
Pb1 0.000 0.000 0.500
Pb2 0.000 0.500 0.750
Pb3 0.500 0.000 0.250
Pb4 0.500 0.500 0.000

(7)
Below is an optimized crystal structure of SrCa7, with properties calculated at the PBE level.

Energy of formation, meV per atom: 10
Mass density, Mg/m³: 1.8
Uncorrected energy, eV per atom: -1.9512

Unit cell a=7.893 b=7.893 c=7.893 alpha=60.00 beta=60.00 gamma=60.00
Element x y z (fractional)
Sr1 0.000 0.000 0.000
Ca1 0.000 0.000 0.500
Ca2 0.000 0.500 0.000
Ca3 0.000 0.500 0.500
Ca4 0.500 0.000 0.000
Ca5 0.500 0.000 0.500
Ca6 0.500 0.500 0.000
Ca7 0.500 0.500 0.500

(8)
Below is an optimized crystal structure of TiSiIr2O, with properties calculated at the PBE level.

Energy relative to the elements, uncorrected, eV per atom: 0.93
Mass density, Mg/m³: 8.7
Uncorrected energy, eV per atom: -6.2697

Unit cell a=4.336 b=4.336 c=4.838 alpha=90.00 beta=90.00 gamma=90.00
Element x y z (fractional)
Ti1 0.000 0.000 0.000
Si1 0.000 0.000 0.500
Ir1 0.000 0.500 0.500
Ir2 0.500 0.000 0.500
O1 0.500 0.500 0.000

(9)
Below is an optimized crystal structure of NdLuCoAg, with properties calculated at the PBE level.

Energy of formation, meV per atom: -129
Mass density, Mg/m³: 9.2
Uncorrected energy, eV per atom: -4.9407

Unit cell a=7.046 b=7.046 c=7.046 alpha=90.00 beta=90.00 gamma=90.00
Element x y z (fractional)
Nd1 0.000 0.000 0.000
Nd2 0.000 0.500 0.500
Nd3 0.500 0.000 0.500
Nd4 0.500 0.500 0.000
Lu1 0.000 0.000 0.500
Lu2 0.000 0.500 0.000
Lu3 0.500 0.000 0.000
Lu4 0.500 0.500 0.500
Co1 0.250 0.250 0.250
Co2 0.250 0.750 0.750
Co3 0.750 0.250 0.750
Co4 0.750 0.750 0.250
Ag1 0.250 0.250 0.750
Ag2 0.250 0.750 0.250
Ag3 0.750 0.250 0.250
Ag4 0.750 0.750 0.750

(10)
Below is an optimized crystal structure of MgSbPbI2, with properties calculated at the PBE level.

Energy relative to the elements, uncorrected, eV per atom: -0.06
Mass density, Mg/m³: 5.7
Uncorrected energy, eV per atom: -2.5607

Unit cell a=5.570 b=5.570 c=5.746 alpha=90.00 beta=90.00 gamma=90.00
Element x y z (fractional)
Mg1 0.000 0.000 0.000
Sb1 0.000 0.000 0.500
Pb1 0.500 0.500 0.500
I1 0.000 0.500 0.000
I2 0.500 0.000 0.000